(1)
The following is a DFT calculation (GGA+U) of an optimized crystal structure of AcCrMoO6.

## Properties
Symmetry: No. 149
E (eV/atom): -7.68
Calculated density (Mg/m³): 6.1

a b c (Å): 5.3509 5.2596 5.2596
angles (deg): 120.00 90.00 90.00
Each line ends with the local moment (μB).
Element x y z (fractional)
Ac 0.0000 0.3333 0.6667  0.01
Cr 0.5000 0.6667 0.3333  2.96
Mo 0.5000 0.0000 0.0000  0.12
O 0.7059 0.7160 0.6760  -0.02
O 0.7059 0.3240 0.0400  -0.02
O 0.7059 0.9600 0.2840  -0.02
O 0.2941 0.3240 0.2840  -0.02
O 0.2941 0.7160 0.0400  -0.02
O 0.2941 0.9600 0.6760  -0.02

(2)
The following is a DFT calculation (GGA+U) of an optimized crystal structure of Ac2CrMoO6.

## Properties
Symmetry: No. 123
E (eV/atom): -7.82
Calculated density (Mg/m³): 8.5

a b c (Å): 4.1054 5.7623 5.7623
angles (deg): 90.00 90.00 90.00
Each line ends with the local moment (μB).
Element x y z (fractional)
Ac 0.1439 0.5000 0.0000  0.02
Ac 0.1439 0.0000 0.5000  0.02
Cr 0.6446 0.0000 0.0000  2.89
Mo 0.6446 0.5000 0.5000  2.58
O 0.6451 0.2421 0.2421  0.03
O 0.6451 0.2421 0.7579  0.03
O 0.1446 0.5000 0.5000  0.06
O 0.1448 0.0000 0.0000  0.00
O 0.6451 0.7579 0.7579  0.03
O 0.6451 0.7579 0.2421  0.03

(3)
The following is a DFT calculation (GGA+U) of an optimized crystal structure of AcCrMo2O8.

## Properties
Symmetry: No. 148
E (eV/atom): -7.45
Calculated density (Mg/m³): 6.5

a b c (Å): 5.3893 5.3893 6.8098
angles (deg): 66.69 66.69 60.00
Each line ends with the local moment (μB).
Element x y z (fractional)
Ac 0.5000 0.5000 0.5000  0.01
Cr 0.0000 0.0000 0.0000  3.02
Mo 0.3005 0.3005 0.0984  1.20
Mo 0.6995 0.6995 0.9016  1.20
O 0.1988 0.1988 0.4036  -0.07
O 0.6538 0.3166 0.1457  -0.07
O 0.8012 0.8012 0.5964  -0.07
O 0.8839 0.6538 0.1457  -0.07
O 0.1161 0.3462 0.8543  -0.07
O 0.3166 0.8839 0.1457  -0.07
O 0.6834 0.1161 0.8543  -0.07
O 0.3462 0.6834 0.8543  -0.07

Repeat the third record exactly.
The following is a DFT calculation (GGA+U) of an optimized crystal structure of AcCrMo2O8.

## Properties
Symmetry: No. 148
E (eV/atom): -7.45
Calculated density (Mg/m³): 6.5

a b c (Å): 5.3893 5.3893 6.8098
angles (deg): 66.69 66.69 60.00
Each line ends with the local moment (μB).
Element x y z (fractional)
Ac 0.5000 0.5000 0.5000  0.01
Cr 0.0000 0.0000 0.0000  3.02
Mo 0.3005 0.3005 0.0984  1.20
Mo 0.6995 0.6995 0.9016  1.20
O 0.1988 0.1988 0.4036  -0.07
O 0.6538 0.3166 0.1457  -0.07
O 0.8012 0.8012 0.5964  -0.07
O 0.8839 0.6538 0.1457  -0.07
O 0.1161 0.3462 0.8543  -0.07
O 0.3166 0.8839 0.1457  -0.07
O 0.6834 0.1161 0.8543  -0.07
O 0.3462 0.6834 0.8543  -0.07